A crystal of NaCdSI2 relaxed with PBEsol. Source: Alexandria, functional meta-GGA SCAN.

The value obtained for the energy relative to the elements, uncorrected is 340.7 meV/atom. Its density of states at the Fermi level is 2.327 states/eV per cell. The symmetry is P4/mmm, No. 123.

Lattice parameters (Å, degrees): 5.6861 5.6861 5.6481 90.00 90.00 90.00
Last column: magnetic moment on the atom in μB.
Element x y z (fractional)
I (0.0000, 0.5000, 0.0000)  0.26
I (0.5000, 0.0000, 0.0000)  0.26
Na (0.0000, 0.0000, 0.0000)  0.00
S (0.5000, 0.5000, 0.5000)  1.13
Cd (0.0000, 0.0000, 0.5000)  0.20